# 1
Entry from Alexandria via LeMat-Bulk: crystalline Rb2PuPd2O6 at its relaxed geometry (GGA-PBE).

Unit cell a=6.419 b=9.226 c=7.305 alpha=90.00 beta=115.02 gamma=90.00
Space group C2/m (No. 12)
Unique sites:
Rb (0.000, 0.186, 0.000) x4
Pu (0.000, 0.000, 0.500) x2
Pd (0.000, 0.334, 0.500) x4
O (0.166, 0.161, 0.691) x8
O (0.223, 0.500, 0.653) x4

=====

# 2
Entry from Alexandria via LeMat-Bulk: crystalline Rb3PuPd2O6 at its relaxed geometry (GGA-PBE).

Unit cell a=6.367 b=13.587 c=6.061 alpha=90.00 beta=94.94 gamma=90.00
Space group C2/m (No. 12)
Unique sites:
Rb (0.000, 0.000, 0.000) x2
Rb (0.000, 0.329, 0.000) x4
Pu (0.000, 0.500, 0.500) x2
Pd (0.000, 0.097, 0.500) x4
O (0.122, 0.500, 0.223) x4
O (0.224, 0.393, 0.629) x8

=====

# 3
Entry from Alexandria via LeMat-Bulk: crystalline Pu2PdRhO8 at its relaxed geometry (GGA-PBE).

Unit cell a=5.172 b=5.172 c=10.575 alpha=90.00 beta=90.00 gamma=90.00
Space group I-4m2 (No. 119)
Unique sites:
Pu (0.000, 0.000, 0.000) x2
Pu (0.000, 0.500, 0.250) x2
Pd (0.000, 0.000, 0.500) x2
Rh (0.000, 0.500, 0.750) x2
O (0.240, 0.255, 0.870) x16

=====

# 4
Entry from Alexandria via LeMat-Bulk: crystalline PuPdS2O8 at its relaxed geometry (GGA-PBE).

Unit cell a=5.3589 b=5.3589 c=23.3950 alpha=90.00 beta=90.00 gamma=120.00
Space group R-3m (No. 166, hexagonal axes)
Unique sites:
Pu (0.0000, 0.0000, 0.0000) x3
Pd (0.0000, 0.0000, 0.5000) x3
S (0.0000, 0.0000, 0.3869) x6
O (0.0000, 0.0000, 0.3236) x6
O (0.0288, 0.5144, 0.2581) x18

=====

# 5
Entry from Alexandria via LeMat-Bulk: crystalline PuSbPdO6 at its relaxed geometry (GGA-PBE).

Unit cell a=5.5129 b=5.5129 c=9.2498 alpha=90.00 beta=90.00 gamma=120.00
Space group P-31c (No. 163)
Unique sites:
Pu (0.3333, 0.6667, 0.2500) x2
Sb (0.3333, 0.6667, 0.7500) x2
Pd (0.0000, 0.0000, 0.0000) x2
O (0.0148, 0.3610, 0.6322) x12

=====

# 6
Entry from Alexandria via LeMat-Bulk: crystalline PuSc2PdO8 at its relaxed geometry (GGA-PBE).

Unit cell a=6.755 b=7.030 c=6.389 alpha=90.00 beta=90.00 gamma=90.00
Space group Cmmm (No. 65)
Unique sites:
Pu (0.000, 0.000, 0.000) x2
Sc (0.000, 0.500, 0.262) x4
Pd (0.000, 0.000, 0.500) x2
O (0.000, 0.188, 0.251) x8
O (0.197, 0.500, 0.000) x4
O (0.200, 0.500, 0.500) x4

=====

no.,magnetization (μB/cell),electronic total energy (eV/atom)
1,3.943,-6.615
2,1.909,-6.209
3,9.970,-8.308
4,12.000,-7.017
5,1.943,-7.402
6,4.006,-8.330